*a*
Nd2YTh2 | PBE-GGA | optimized geometry

Summary:
The symmetry is No. 74. The calculation puts the density at 8.233 g/cm³. The crystal system is orthorhombic. For the size of the total moment, the calculation gives 0.0 μB/f.u.

Cell lengths 16.7720, 16.7720, 16.7720 Å; angles 167.79, 160.11, 23.40 degrees
With the nearest neighbours (Å) after each atom.
Fractional coordinates of all 10 atoms:
Nd 0.2725 0.0225 0.2500  5 Nd 3.19-3.57
Nd 0.3697 0.1197 0.2500  3 Nd 3.19-3.57, 2 Th 3.42
Nd 0.6303 0.8803 0.7500  3 Nd 3.19-3.57, 2 Th 3.42
Nd 0.7275 0.9775 0.7500  5 Nd 3.19-3.57
Y 0.1716 0.4216 0.7500  2 Y 3.57, 10 Nd 3.66-3.87
Y 0.8284 0.5784 0.2500  2 Y 3.57, 10 Nd 3.66-3.87
Th 0.0570 0.8070 0.2500  6 Th 3.44-3.57, 2 Nd 3.77
Th 0.4586 0.7086 0.7500  8 Th 3.25-3.57, 2 Nd 3.42
Th 0.5414 0.2914 0.2500  8 Th 3.25-3.57, 2 Nd 3.42
Th 0.9430 0.1930 0.7500  6 Th 3.44-3.57, 2 Nd 3.77

---

*b*
Nd2YTh2 | PBE-GGA | optimized geometry

Summary:
The symmetry is No. 139. The calculation puts the density at 8.330 g/cm³. The crystal system is tetragonal. For the size of the total moment, the calculation gives 0.0 μB/f.u.

Cell lengths 3.6111, 3.6111, 25.7281 Å; angles 90.00, 90.00, 90.00 degrees
With the nearest neighbours (Å) after each atom.
Fractional coordinates of all 10 atoms:
Nd 0.0000 0.0000 0.1032  4 Nd 3.61, 4 Th 3.62, 4 Y 3.68
Nd 0.0000 0.0000 0.8968  4 Nd 3.61, 4 Th 3.62, 4 Y 3.68
Nd 0.5000 0.5000 0.3968  4 Nd 3.61, 4 Th 3.62, 4 Y 3.68
Nd 0.5000 0.5000 0.6032  4 Nd 3.61, 4 Th 3.62, 4 Y 3.68
Y 0.0000 0.0000 0.5000  4 Y 3.61, 8 Nd 3.68
Y 0.5000 0.5000 0.0000  4 Y 3.61, 8 Nd 3.68
Th 0.0000 0.0000 0.2971  8 Th 3.52-3.61, 4 Nd 3.62
Th 0.0000 0.0000 0.7029  8 Th 3.52-3.61, 4 Nd 3.62
Th 0.5000 0.5000 0.2029  8 Th 3.52-3.61, 4 Nd 3.62
Th 0.5000 0.5000 0.7971  8 Th 3.52-3.61, 4 Nd 3.62

---

Of them, *b* has the highest stability.

---

*a*
Nd7Y4Th | PBE-GGA | optimized geometry

Summary:
The symmetry is No. 191. The calculation puts the density at 6.512 g/cm³. The crystal system is hexagonal. For the size of the total moment, the calculation gives 0.0 μB/f.u.

Cell lengths 5.7753, 5.7753, 14.1006 Å; angles 90.00, 90.00, 120.00 degrees
With the nearest neighbours (Å) after each atom.
Fractional coordinates of all 12 atoms:
Nd 0.0000 0.0000 0.0000  2 Nd 3.51, 12 Y 3.76
Nd 0.0000 0.0000 0.2488  7 Nd 3.51-3.77, 1 Th 3.54, 6 Y 3.78
Nd 0.0000 0.0000 0.7512  7 Nd 3.51-3.77, 1 Th 3.54, 6 Y 3.78
Nd 0.3333 0.6667 0.3730  4 Nd 3.33-3.58, 1 Y 3.53
Nd 0.3333 0.6667 0.6270  4 Nd 3.33-3.58, 1 Y 3.53
Nd 0.6667 0.3333 0.3730  4 Nd 3.33-3.58, 1 Y 3.53
Nd 0.6667 0.3333 0.6270  4 Nd 3.33-3.58, 1 Y 3.53
Y 0.3333 0.6667 0.1230  4 Y 3.33-3.47, 1 Nd 3.53
Y 0.3333 0.6667 0.8770  4 Y 3.33-3.47, 1 Nd 3.53
Y 0.6667 0.3333 0.1230  4 Y 3.33-3.47, 1 Nd 3.53
Y 0.6667 0.3333 0.8770  4 Y 3.33-3.47, 1 Nd 3.53
Th 0.0000 0.0000 0.5000  14 Nd 3.54-3.78

---

*b*
Nd7Y4Th | PBE-GGA | optimized geometry

Summary:
The symmetry is No. 2. The calculation puts the density at 6.401 g/cm³. The crystal system is triclinic. For the size of the total moment, the calculation gives 0.0 μB/f.u.

Cell lengths 6.1799, 7.0632, 10.1218 Å; angles 69.70, 89.94, 89.96 degrees
With the nearest neighbours (Å) after each atom.
Fractional coordinates of all 12 atoms:
Nd 0.0000 0.0000 0.0000  2 Th 3.09
Nd 0.2451 0.2897 0.4190  5 Nd 3.32-3.70, 2 Y 3.45
Nd 0.2532 0.8150 0.3679  5 Nd 3.56-3.83, 6 Y 3.68-3.79, 1 Th 3.81
Nd 0.2539 0.4663 0.0693  3 Nd 3.31-3.40, 2 Y 3.67
Nd 0.7461 0.5337 0.9307  3 Nd 3.31-3.40, 2 Y 3.67
Nd 0.7468 0.1850 0.6321  5 Nd 3.56-3.83, 6 Y 3.68-3.79, 1 Th 3.81
Nd 0.7549 0.7103 0.5810  5 Nd 3.32-3.70, 2 Y 3.45
Y 0.2522 0.3999 0.7255  2 Y 3.36-3.71, 5 Nd 3.45-3.74, 1 Th 3.55
Y 0.2531 0.8752 0.7250  2 Y 3.36-3.71, 5 Nd 3.45-3.75, 1 Th 3.54
Y 0.7469 0.1248 0.2750  2 Y 3.36-3.71, 5 Nd 3.45-3.75, 1 Th 3.54
Y 0.7478 0.6001 0.2745  2 Y 3.36-3.71, 5 Nd 3.45-3.74, 1 Th 3.55
Th 0.5000 0.0000 0.0000  2 Nd 3.09

---

Of them, *a* has the highest stability.

---

*a*
Nd5Y2Th | PBE-GGA | optimized geometry

Summary:
The symmetry is No. 15. The calculation puts the density at 6.790 g/cm³. The crystal system is monoclinic. For the size of the total moment, the calculation gives 0.0 μB/f.u.

Cell lengths 9.5929, 9.5929, 6.7760 Å; angles 109.25, 109.25, 78.83 degrees
With the nearest neighbours (Å) after each atom.
Fractional coordinates of all 16 atoms:
Nd 0.1145 0.6324 0.1229  2 Nd 3.32-3.40, 1 Th 3.49
Nd 0.2416 0.7584 0.7500  1 Th 3.25, 4 Y 3.35-3.40
Nd 0.2649 0.2763 0.7875  4 Nd 3.39-3.77, 3 Y 3.50-3.64, 2 Th 3.51-3.52
Nd 0.2763 0.2649 0.2875  4 Nd 3.39-3.77, 3 Y 3.50-3.64, 2 Th 3.51-3.52
Nd 0.3676 0.8855 0.3771  2 Nd 3.32-3.40, 1 Th 3.49
Nd 0.6324 0.1145 0.6229  2 Nd 3.32-3.40, 1 Th 3.49
Nd 0.7237 0.7351 0.7125  4 Nd 3.39-3.77, 3 Y 3.50-3.64, 2 Th 3.51-3.52
Nd 0.7351 0.7237 0.2125  4 Nd 3.39-3.77, 3 Y 3.50-3.64, 2 Th 3.51-3.52
Nd 0.7584 0.2416 0.2500  1 Th 3.25, 4 Y 3.35-3.40
Nd 0.8855 0.3676 0.8771  2 Nd 3.32-3.40, 1 Th 3.49
Y 0.0000 0.0000 0.0000  2 Y 3.39, 6 Nd 3.40-3.76
Y 0.0000 0.0000 0.5000  2 Y 3.39, 6 Nd 3.40-3.76
Y 0.0000 0.5000 0.5000  8 Nd 3.35-3.73
Y 0.5000 0.0000 0.0000  8 Nd 3.35-3.73
Th 0.4914 0.5086 0.2500  7 Nd 3.25-3.52, 2 Th 3.39
Th 0.5086 0.4914 0.7500  7 Nd 3.25-3.52, 2 Th 3.39

---

*b*
Nd5Y2Th | PBE-GGA | optimized geometry

Summary:
The symmetry is No. 55. The calculation puts the density at 6.888 g/cm³. The crystal system is orthorhombic. For the size of the total moment, the calculation gives 0.0 μB/f.u.

Cell lengths 7.2730, 14.5529, 5.1523 Å; angles 90.00, 90.00, 90.00 degrees
With the nearest neighbours (Å) after each atom.
Fractional coordinates of all 16 atoms:
Nd 0.0000 0.0000 0.0000  6 Nd 3.64-3.66, 2 Th 3.64, 4 Y 3.65
Nd 0.0058 0.2518 0.0000  7 Nd 3.61-3.70, 1 Th 3.61, 4 Y 3.64-3.69
Nd 0.2475 0.3769 0.5000  4 Y 3.55-3.72, 6 Nd 3.61-3.70, 2 Th 3.62
Nd 0.2525 0.8769 0.5000  4 Y 3.55-3.72, 6 Nd 3.61-3.70, 2 Th 3.62
Nd 0.4942 0.7518 0.0000  7 Nd 3.61-3.70, 1 Th 3.61, 4 Y 3.64-3.69
Nd 0.5000 0.5000 0.0000  6 Nd 3.64-3.66, 2 Th 3.64, 4 Y 3.65
Nd 0.5058 0.2482 0.0000  7 Nd 3.61-3.70, 1 Th 3.61, 4 Y 3.64-3.69
Nd 0.7475 0.1231 0.5000  4 Y 3.55-3.72, 6 Nd 3.61-3.70, 2 Th 3.62
Nd 0.7525 0.6231 0.5000  4 Y 3.55-3.72, 6 Nd 3.61-3.70, 2 Th 3.62
Nd 0.9942 0.7482 0.0000  7 Nd 3.61-3.70, 1 Th 3.61, 4 Y 3.64-3.69
Y 0.2410 0.6222 0.5000  10 Nd 3.55-3.72, 2 Th 3.59
Y 0.2590 0.1222 0.5000  10 Nd 3.55-3.72, 2 Th 3.59
Y 0.7410 0.8778 0.5000  10 Nd 3.55-3.72, 2 Th 3.59
Y 0.7590 0.3777 0.5000  10 Nd 3.55-3.72, 2 Th 3.59
Th 0.0000 0.5000 0.0000  4 Y 3.59, 8 Nd 3.61-3.64
Th 0.5000 0.0000 0.0000  4 Y 3.59, 8 Nd 3.61-3.64

---

Of them, *b* has the highest stability.

---

*a*
Nd2Y3Th2 | PBE-GGA | optimized geometry

Summary:
The symmetry is No. 12. The calculation puts the density at 7.249 g/cm³. The crystal system is monoclinic. For the size of the total moment, the calculation gives 0.0 μB/f.u.

Cell lengths 17.7163, 3.4682, 8.7157 Å; angles 90.00, 119.32, 90.00 degrees
With the nearest neighbours (Å) after each atom.
Fractional coordinates of all 14 atoms:
Nd 0.0622 0.0000 0.2135  3 Nd 3.27-3.47, 3 Y 3.47-3.63
Nd 0.4378 0.5000 0.7865  3 Nd 3.27-3.47, 3 Y 3.47-3.63
Nd 0.5622 0.5000 0.2135  3 Nd 3.27-3.47, 3 Y 3.47-3.63
Nd 0.9378 0.0000 0.7865  3 Nd 3.27-3.47, 3 Y 3.47-3.63
Y 0.0000 0.5000 0.5000  4 Y 3.41-3.47, 2 Th 3.55, 4 Nd 3.63
Y 0.2162 0.5000 0.6348  5 Y 3.41-3.57, 3 Th 3.47-3.61, 3 Nd 3.47-3.76
Y 0.2838 0.0000 0.3652  5 Y 3.41-3.57, 3 Th 3.47-3.61, 3 Nd 3.47-3.76
Y 0.5000 0.0000 0.5000  4 Y 3.41-3.47, 2 Th 3.55, 4 Nd 3.63
Y 0.7162 0.0000 0.6348  5 Y 3.41-3.57, 3 Th 3.47-3.61, 3 Nd 3.47-3.76
Y 0.7838 0.5000 0.3652  5 Y 3.41-3.57, 3 Th 3.47-3.61, 3 Nd 3.47-3.76
Th 0.1541 0.5000 0.9552  4 Y 3.47-3.61, 4 Th 3.47-3.54, 4 Nd 3.78-3.79
Th 0.3459 0.0000 0.0448  4 Y 3.47-3.61, 4 Th 3.47-3.54, 4 Nd 3.78-3.79
Th 0.6541 0.0000 0.9552  4 Y 3.47-3.61, 4 Th 3.47-3.54, 4 Nd 3.78-3.79
Th 0.8459 0.5000 0.0448  4 Y 3.47-3.61, 4 Th 3.47-3.54, 4 Nd 3.78-3.79

---

*b*
Nd2Y3Th2 | PBE-GGA | optimized geometry

Summary:
The symmetry is No. 12. The calculation puts the density at 7.315 g/cm³. The crystal system is monoclinic. For the size of the total moment, the calculation gives 0.0 μB/f.u.

Cell lengths 11.9740, 3.6115, 10.7563 Å; angles 90.00, 95.82, 90.00 degrees
With the nearest neighbours (Å) after each atom.
Fractional coordinates of all 14 atoms:
Nd 0.2152 0.0000 0.3485  3 Th 3.53-3.59, 5 Y 3.57-3.66, 4 Nd 3.61-3.75
Nd 0.2848 0.5000 0.6515  3 Th 3.53-3.59, 5 Y 3.57-3.66, 4 Nd 3.61-3.75
Nd 0.7152 0.5000 0.3485  3 Th 3.53-3.59, 5 Y 3.57-3.66, 4 Nd 3.61-3.75
Nd 0.7848 0.0000 0.6515  3 Th 3.53-3.59, 5 Y 3.57-3.66, 4 Nd 3.61-3.75
Y 0.0000 0.5000 0.5000  4 Th 3.57, 2 Y 3.61, 6 Nd 3.63-3.66
Y 0.1413 0.5000 0.0661  5 Y 3.54-3.61, 2 Nd 3.57, 5 Th 3.57-3.70
Y 0.3587 0.0000 0.9339  5 Y 3.54-3.61, 2 Nd 3.57, 5 Th 3.57-3.70
Y 0.5000 0.0000 0.5000  4 Th 3.57, 2 Y 3.61, 6 Nd 3.63-3.66
Y 0.6413 0.0000 0.0661  5 Y 3.54-3.61, 2 Nd 3.57, 5 Th 3.57-3.70
Y 0.8587 0.5000 0.9339  5 Y 3.54-3.61, 2 Nd 3.57, 5 Th 3.57-3.70
Th 0.0665 0.0000 0.7838  3 Nd 3.53-3.59, 7 Y 3.57-3.70, 2 Th 3.61
Th 0.4335 0.5000 0.2162  3 Nd 3.53-3.59, 7 Y 3.57-3.70, 2 Th 3.61
Th 0.5665 0.5000 0.7838  3 Nd 3.53-3.59, 7 Y 3.57-3.70, 2 Th 3.61
Th 0.9335 0.0000 0.2162  3 Nd 3.53-3.59, 7 Y 3.57-3.70, 2 Th 3.61

---

Of them, *b* has the highest stability.

---

*a*
Nd6Y3Th | PBE-GGA | optimized geometry

Summary:
The symmetry is No. 11. The calculation puts the density at 6.592 g/cm³. The crystal system is monoclinic. For the size of the total moment, the calculation gives 0.0 μB/f.u.

Cell lengths 13.3894, 3.5688, 14.6257 Å; angles 90.00, 100.45, 90.00 degrees
With the nearest neighbours (Å) after each atom.
Fractional coordinates of all 20 atoms:
Nd 0.0010 0.2500 0.1910  4 Y 3.46-3.49, 7 Nd 3.57-3.70
Nd 0.1563 0.7500 0.3803  4 Y 3.50-3.68, 8 Nd 3.57-3.73
Nd 0.2297 0.2500 0.7983  3 Y 3.51-3.73, 7 Nd 3.54-3.86, 2 Th 3.67
Nd 0.2807 0.2500 0.2107  3 Y 3.39-3.56, 1 Th 3.39, 5 Nd 3.57-3.70
Nd 0.3115 0.2500 0.5813  5 Y 3.47-3.76, 5 Nd 3.54-3.73, 2 Th 3.68
Nd 0.3782 0.7500 0.0153  8 Nd 3.57-3.86, 3 Th 3.80-3.85, 2 Y 3.82
Nd 0.6218 0.2500 0.9847  8 Nd 3.57-3.86, 3 Th 3.80-3.85, 2 Y 3.82
Nd 0.6885 0.7500 0.4187  5 Y 3.47-3.76, 5 Nd 3.54-3.73, 2 Th 3.68
Nd 0.7193 0.7500 0.7893  3 Y 3.39-3.56, 1 Th 3.39, 5 Nd 3.57-3.70
Nd 0.7703 0.7500 0.2017  3 Y 3.51-3.73, 7 Nd 3.54-3.86, 2 Th 3.67
Nd 0.8437 0.2500 0.6197  4 Y 3.50-3.68, 8 Nd 3.57-3.73
Nd 0.9990 0.7500 0.8090  4 Y 3.46-3.49, 7 Nd 3.57-3.70
Y 0.0777 0.7500 0.5961  8 Nd 3.46-3.73, 4 Y 3.57-3.65
Y 0.1238 0.2500 0.0012  5 Nd 3.39-3.51, 4 Y 3.57-3.76
Y 0.4267 0.7500 0.3994  6 Nd 3.47-3.76, 4 Y 3.57-3.69, 2 Th 3.66
Y 0.5733 0.2500 0.6006  6 Nd 3.47-3.76, 4 Y 3.57-3.69, 2 Th 3.66
Y 0.8762 0.7500 0.9988  5 Nd 3.39-3.51, 4 Y 3.57-3.76
Y 0.9223 0.2500 0.4039  8 Nd 3.46-3.73, 4 Y 3.57-3.65
Th 0.4644 0.7500 0.7779  5 Nd 3.39-3.68, 2 Th 3.57, 2 Y 3.66
Th 0.5356 0.2500 0.2221  5 Nd 3.39-3.68, 2 Th 3.57, 2 Y 3.66

---

*b*
Nd6Y3Th | PBE-GGA | optimized geometry

Summary:
The symmetry is No. 2. The calculation puts the density at 6.657 g/cm³. The crystal system is triclinic. For the size of the total moment, the calculation gives 0.0 μB/f.u.

Cell lengths 3.6477, 6.2970, 29.7002 Å; angles 86.00, 90.00, 89.94 degrees
With the nearest neighbours (Å) after each atom.
Fractional coordinates of all 20 atoms:
Nd 0.0005 0.1923 0.4017  2 Th 3.58, 8 Nd 3.58-3.71, 2 Y 3.61-3.65
Nd 0.9995 0.8077 0.5983  2 Th 3.58, 8 Nd 3.58-3.71, 2 Y 3.61-3.65
Nd 0.0020 0.3713 0.9016  2 Th 3.58-3.59, 8 Nd 3.59-3.71, 2 Y 3.61-3.68
Nd 0.4973 0.4031 0.2996  6 Nd 3.59-3.71, 6 Y 3.59-3.65
Nd 0.4972 0.7677 0.2010  6 Nd 3.59-3.71, 6 Y 3.60-3.64
Nd 0.4979 0.1379 0.0993  7 Nd 3.59-3.69, 1 Th 3.60, 4 Y 3.62-3.68
Nd 0.5001 0.2972 0.5988  7 Nd 3.58-3.70, 1 Th 3.59, 4 Y 3.61-3.68
Nd 0.4999 0.7028 0.4012  7 Nd 3.58-3.70, 1 Th 3.59, 4 Y 3.61-3.68
Nd 0.5021 0.8621 0.9007  7 Nd 3.59-3.69, 1 Th 3.60, 4 Y 3.62-3.68
Nd 0.5028 0.2323 0.7990  6 Nd 3.59-3.71, 6 Y 3.60-3.64
Nd 0.5027 0.5969 0.7004  6 Nd 3.59-3.71, 6 Y 3.59-3.65
Nd 0.9980 0.6287 0.0984  2 Th 3.58-3.59, 8 Nd 3.59-3.71, 2 Y 3.61-3.68
Y 0.0000 0.0000 0.0000  6 Nd 3.61-3.63, 4 Th 3.64, 2 Y 3.65
Y 0.0000 0.5000 0.5000  6 Nd 3.61, 4 Th 3.64, 2 Y 3.65
Y 0.0021 0.7325 0.7986  3 Y 3.59-3.65, 9 Nd 3.59-3.68
Y 0.0027 0.0979 0.7004  3 Y 3.59-3.65, 9 Nd 3.60-3.68
Y 0.9973 0.9021 0.2996  3 Y 3.59-3.65, 9 Nd 3.60-3.68
Y 0.9979 0.2675 0.2014  3 Y 3.59-3.65, 9 Nd 3.59-3.68
Th 0.5000 0.0000 0.5000  6 Nd 3.58-3.59, 4 Y 3.64, 2 Th 3.65
Th 0.5000 0.5000 0.0000  6 Nd 3.58-3.60, 4 Y 3.64, 2 Th 3.65

---

Of them, *b* has the highest stability.